Entry from Alexandria via LeMat-Bulk: an optimized crystal structure of PuHO (PBE).

Summary:
Magnetization = 5.00 μB/f.u.
Symmetry = F-43m
Calculated total energy = -9.464 eV per atom
ΔE to the lowest computed polymorph = 0 meV/atom

Cell: 3.807 3.807 3.807 Å, 60.00 60.00 60.00°
Element x y z (fractional)
Pu: 0.250 0.250 0.250
H: 0.500 0.500 0.500
O: 0.000 0.000 0.000